An optimized crystal structure of BeWO3. Source: Alexandria via LeMat-Bulk, functional PBE with a Hubbard U.

POSCAR file:
```
BeWO3
1.0
3.912 0.000 0.000
0.000 3.912 0.000
0.000 0.000 3.912
W Be O
1 1 3
direct
0.000 0.000 0.000
0.500 0.500 0.500
0.500 0.000 0.000
0.000 0.000 0.500
0.000 0.500 0.000
```

Summary:
Raw total energy ... -6.033 eV per atom
Space-group type ... Pm-3m